# 1
Crystalline NdDyEr2Th at its relaxed geometry, computed with GGA-PBE.

a b c (Å): 5.6185 8.6728 7.0673
angles (deg): 89.99 90.00 90.00
Atoms (fractional coordinates):
Nd 0.0000 0.0000 0.0000
Nd 0.0000 0.0000 0.5000
Dy 0.0002 0.5000 0.7500
Dy 0.9998 0.5000 0.2500
Er 0.4998 0.6785 0.0002
Er 0.4998 0.3215 0.4998
Er 0.5002 0.6785 0.5002
Er 0.5002 0.3215 0.9998
Th 0.5002 0.0000 0.2500
Th 0.4998 0.0000 0.7500

## Properties
Energy of formation from the pure elements   0.32 eV/atom
E_tot   -4.86 eV/atom

# 2
Crystalline SrTbSiN3 at its relaxed geometry, computed with GGA-PBE.

a b c (Å): 3.7967 6.6035 7.2654
angles (deg): 105.51 90.00 106.71
Atoms (fractional coordinates):
Sr 0.3523 0.7046 0.9278
Sr 0.6477 0.2954 0.0722
Tb 0.6511 0.3021 0.5763
Tb 0.3489 0.6979 0.4237
Si 0.0034 0.0067 0.2716
Si 0.9966 0.9933 0.7284
N 0.8557 0.7115 0.1989
N 0.8474 0.6948 0.6575
N 0.5041 0.0081 0.2831
N 0.1526 0.3052 0.3425
N 0.4959 0.9919 0.7169
N 0.1443 0.2885 0.8011

## Properties
Energy relative to the elements, uncorrected   -0.94 eV per atom
E_tot   -7.05 eV/atom

# 3
Crystalline Cr4IrPd at its relaxed geometry, computed with GGA-PBE.

a b c (Å): 4.7522 4.7522 4.7522
angles (deg): 60.00 60.00 60.00
Atoms (fractional coordinates):
Cr 0.6222 0.6222 0.1333
Cr 0.6222 0.1333 0.6222
Cr 0.6222 0.6222 0.6222
Cr 0.1333 0.6222 0.6222
Ir 0.0000 0.0000 0.0000
Pd 0.2500 0.2500 0.2500

## Properties
Energy of formation from the pure elements   -0.01 eV/atom
E_tot   -8.76 eV/atom